No. 1
A relaxed structure of NaErTl2I6. Source: Alexandria, functional PBE.

The calculation puts the formation energy (no corrections) at -1.061 eV per atom.

The structure belongs to space group R3 (No. 146, hexagonal axes); the cell edges are 8.4585, 8.4585 and 21.4107 Å and the angles 90.00°, 90.00° and 120.00°. The distinct sites, in fractional coordinates, are Na at (0.0000, 0.0000, 0.0000), Er at (0.0000, 0.0000, 0.4948), Tl at (0.0000, 0.0000, 0.2889), Tl at (0.0000, 0.0000, 0.7957), I at (0.0101, 0.4099, 0.2400) and I at (0.0761, 0.7186, 0.0766).



No. 2
A relaxed structure of Gd4Er2H. Source: Alexandria, functional PBE.

The structure belongs to space group I4/mmm (No. 139); the cell edges are 4.835, 4.835 and 17.098 Å and the angles 90.00°, 90.00° and 90.00°. The distinct sites, in fractional coordinates, are Gd at (0.000, 0.000, 0.151), Gd at (0.000, 0.500, 0.000), Er at (0.000, 0.000, 0.353) and H at (0.000, 0.000, 0.000).



No. 3
A relaxed structure of KBeNi2. Source: Alexandria, functional PBE.

Its calculated formation energy is 0.605 eV per atom.

The structure belongs to space group I4_1/amd (No. 141, origin choice 2); the cell edges are 4.715, 4.715 and 14.700 Å and the angles 90.00°, 90.00° and 90.00°. The distinct sites, in fractional coordinates, are K at (0.000, 0.250, 0.375), Be at (0.000, 0.250, 0.875) and Ni at (0.000, 0.000, 0.000).



Asked for electronic total energy across the records above, the calculation gives -3.0526, -9.7431, -3.4917 eV/atom in order.
Asked for total magnetic moment across the records above, the calculation gives 0.00, 29.18, 0.76 μB per formula unit in order.